Entry 1:
Al2AgSb2 | GGA-PBE | optimized geometry

```
data_Al2AgSb2
_chemical_formula_sum 'Al4 Ag2 Sb4'
_cell_length_a 7.184
_cell_length_b 7.184
_cell_length_c 4.299
_cell_angle_alpha 90.00
_cell_angle_beta 90.00
_cell_angle_gamma 90.00
_space_group_name_H-M_alt 'P 4/m b m'
_space_group_IT_number 127
_space_group_name_Hall '-P 4 2ab'
loop_
_atom_site_label
_atom_site_type_symbol
_atom_site_fract_x
_atom_site_fract_y
_atom_site_fract_z
Al1 Al 0.130 0.370 0.000
Ag1 Ag 0.000 0.000 0.000
Sb1 Sb 0.192 0.692 0.500
```

## Properties
The calculated total energy is -35.4 eV for the cell shown. The offset from the most stable computed form comes out at 0.0 meV per atom.


Entry 2:
AlAgSb2 | GGA-PBE | optimized geometry

```
data_AlAgSb2
_chemical_formula_sum 'Al1 Ag1 Sb2'
_cell_length_a 3.230
_cell_length_b 4.302
_cell_length_c 6.772
_cell_angle_alpha 90.00
_cell_angle_beta 100.48
_cell_angle_gamma 90.00
_space_group_name_H-M_alt 'P 1 2/m 1'
_space_group_IT_number 10
loop_
_space_group_symop_operation_xyz
'x,y,z'
'-x,-y,-z'
'-x,y,-z'
'x,-y,z'
loop_
_atom_site_label
_atom_site_type_symbol
_atom_site_fract_x
_atom_site_fract_y
_atom_site_fract_z
Al1 Al 0.000 0.000 0.000
Ag1 Ag 0.000 0.000 0.500
Sb1 Sb 0.490 0.500 0.251
```

## Properties
The calculated total energy is -14.0 eV for the cell shown.


Entry 3:
AlAg2Sb | GGA-PBE | optimized geometry

```
data_AlAg2Sb
_chemical_formula_sum 'Al2 Ag4 Sb2'
_cell_length_a 4.270
_cell_length_b 4.270
_cell_length_c 8.849
_cell_angle_alpha 90.00
_cell_angle_beta 90.00
_cell_angle_gamma 90.00
_space_group_name_H-M_alt 'I 4/m m m'
_space_group_IT_number 139
_space_group_name_Hall '-I 4 2'
loop_
_atom_site_label
_atom_site_type_symbol
_atom_site_fract_x
_atom_site_fract_y
_atom_site_fract_z
Al1 Al 0.000 0.000 0.000
Ag1 Ag 0.000 0.500 0.250
Sb1 Sb 0.000 0.000 0.500
```

## Properties
The calculated total energy is -26.2 eV for the cell shown. The offset from the most stable computed form comes out at 78.2 meV per atom.


Entry 4:
AlAgSb | GGA-PBE | optimized geometry

```
data_AlAgSb
_chemical_formula_sum 'Al2 Ag2 Sb2'
_cell_length_a 3.121
_cell_length_b 3.963
_cell_length_c 10.307
_cell_angle_alpha 90.00
_cell_angle_beta 90.00
_cell_angle_gamma 90.00
_space_group_name_H-M_alt 'I m m 2'
_space_group_IT_number 44
loop_
_space_group_symop_operation_xyz
'x,y,z'
'-x,-y,z'
'-x,y,z'
'x,-y,z'
'x+1/2,y+1/2,z+1/2'
'-x+1/2,-y+1/2,z+1/2'
'-x+1/2,y+1/2,z+1/2'
'x+1/2,-y+1/2,z+1/2'
loop_
_atom_site_label
_atom_site_type_symbol
_atom_site_fract_x
_atom_site_fract_y
_atom_site_fract_z
Al1 Al 0.000 0.000 0.000
Ag1 Ag 0.000 0.000 0.626
Sb1 Sb 0.000 0.000 0.319
```

## Properties
The calculated total energy is -20.4 eV for the cell shown. The offset from the most stable computed form comes out at 84.7 meV per atom.


Entry 5:
AlAgSb2 | GGA-PBE | optimized geometry

```
data_AlAgSb2
_chemical_formula_sum 'Al2 Ag2 Sb4'
_cell_length_a 4.099
_cell_length_b 5.289
_cell_length_c 8.622
_cell_angle_alpha 90.00
_cell_angle_beta 90.00
_cell_angle_gamma 90.00
_space_group_name_H-M_alt 'I m m m'
_space_group_IT_number 71
_space_group_name_Hall '-I 2 2'
loop_
_atom_site_label
_atom_site_type_symbol
_atom_site_fract_x
_atom_site_fract_y
_atom_site_fract_z
Al1 Al 0.000 0.000 0.000
Ag1 Ag 0.000 0.000 0.500
Sb1 Sb 0.000 0.500 0.265
```

## Properties
The calculated total energy is -27.9 eV for the cell shown.


Entry 6:
AlAgSb2 | GGA-PBE | optimized geometry

```
data_AlAgSb2
_chemical_formula_sum 'Al2 Ag2 Sb4'
_cell_length_a 7.955
_cell_length_b 8.248
_cell_length_c 3.026
_cell_angle_alpha 90.00
_cell_angle_beta 92.78
_cell_angle_gamma 90.00
_space_group_name_H-M_alt 'C 1 2/m 1'
_space_group_IT_number 12
loop_
_space_group_symop_operation_xyz
'x,y,z'
'-x,-y,-z'
'-x,y,-z'
'x,-y,z'
'x+1/2,y+1/2,z'
'-x+1/2,-y+1/2,-z'
'-x+1/2,y+1/2,-z'
'x+1/2,-y+1/2,z'
loop_
_atom_site_label
_atom_site_type_symbol
_atom_site_fract_x
_atom_site_fract_y
_atom_site_fract_z
Al1 Al 0.000 0.000 0.000
Ag1 Ag 0.000 0.500 0.000
Sb1 Sb 0.250 0.250 0.000
```

## Properties
The calculated total energy is -28.4 eV for the cell shown.


What is the calculated total energy in the first record? -35.4 eV for the cell shown


Among the records above, which one has the lowest calculated total energy? Al2AgSb2


The lowest calculated total energy belongs to which entry? Al2AgSb2


The highest calculated total energy belongs to which entry? number 2